Entry 1:
VASP calculation (GGA-PBE) on Ni2AsCl after structural relaxation.

Computed properties:
SG: F-43m, No. 216
Raw formation energy in meV per atom: 673
Total moment in μB/cell: 0.004
Energy in hartree per atom: -0.141
D(E_F) in states/eV/f.u.: 5.30
Energy above the lowest structure with this stoichiometry in meV/atom: 893.8

a b c (Å): 4.393 4.393 4.393
angles (deg): 60.00 60.00 60.00
Fractional coordinates of all 4 atoms:
Ni 0.000 0.000 0.000
Ni 0.250 0.250 0.250
As 0.750 0.750 0.750
Cl 0.500 0.500 0.500

=====

Entry 2:
VASP calculation (GGA-PBE) on Ni3AsCl after structural relaxation.

Computed properties:
SG: Pm-3m, No. 221
Raw formation energy in meV per atom: 532
Total moment in μB/cell: 0.000
Energy in hartree per atom: -0.156
D(E_F) in states/eV/f.u.: 6.08
Energy above the lowest structure with this stoichiometry in meV/atom: 0.0

a b c (Å): 4.441 4.441 4.441
angles (deg): 90.00 90.00 90.00
Fractional coordinates of all 5 atoms:
Ni 0.000 0.000 0.500
Ni 0.000 0.500 0.000
Ni 0.500 0.000 0.000
As 0.000 0.000 0.000
Cl 0.500 0.500 0.500

=====

Entry 3:
VASP calculation (GGA-PBE) on NiAs2Cl after structural relaxation.

Computed properties:
SG: R-3m, No. 166
Raw formation energy in meV per atom: -155
Total moment in μB/cell: 0.000
Energy in hartree per atom: -0.161
D(E_F) in states/eV/f.u.: 1.57
Energy above the lowest structure with this stoichiometry in meV/atom: 91.5

a b c (Å): 6.794 6.794 6.794
angles (deg): 31.85 31.85 31.85
Fractional coordinates of all 4 atoms:
Ni 0.000 0.000 0.000
As 0.281 0.281 0.281
As 0.719 0.719 0.719
Cl 0.500 0.500 0.500

=====

Entry 4:
VASP calculation (GGA-PBE) on NiAs2Cl after structural relaxation.

Computed properties:
SG: Cmm2, No. 35
Raw formation energy in meV per atom: 179
Total moment in μB/cell: 0.000
Energy in hartree per atom: -0.149
D(E_F) in states/eV/f.u.: 3.88
Energy above the lowest structure with this stoichiometry in meV/atom: 426.0

a b c (Å): 3.204 3.204 8.466
angles (deg): 90.00 90.00 117.56
Fractional coordinates of all 4 atoms:
Ni 0.000 0.000 0.000
As 0.000 0.000 0.554
As 0.500 0.500 0.807
Cl 0.500 0.500 0.186

=====

Question: The lowest D(E_F) belongs to which entry?
Answer: number 3

=====

Question: Which value of energy does entry 2 give?
Answer: -0.156 hartree per atom

=====

Copy entry 1 word for word.
VASP calculation (GGA-PBE) on Ni2AsCl after structural relaxation.

Computed properties:
SG: F-43m, No. 216
Raw formation energy in meV per atom: 673
Total moment in μB/cell: 0.004
Energy in hartree per atom: -0.141
D(E_F) in states/eV/f.u.: 5.30
Energy above the lowest structure with this stoichiometry in meV/atom: 893.8

a b c (Å): 4.393 4.393 4.393
angles (deg): 60.00 60.00 60.00
Fractional coordinates of all 4 atoms:
Ni 0.000 0.000 0.000
Ni 0.250 0.250 0.250
As 0.750 0.750 0.750
Cl 0.500 0.500 0.500